# 1
{"formula": "Mn3CuNi", "functional": "SCAN", "state": "single point on PBEsol structure", "cell": [[4.391, 0.000, 0.000], [0.000, 4.391, 0.000], [0.000, 0.000, 4.391]], "species": ["Mn", "Mn", "Mn", "Cu", "Ni"], "frac_coords": [[0.000, 0.000, 0.500], [0.000, 0.500, 0.000], [0.500, 0.000, 0.000], [0.500, 0.500, 0.500], [0.000, 0.000, 0.000]], "total_magnetization_mub_per_cell": 13.43, "sg": "Pm-3m", "final_energy_ev_per_atom": -16.649, "density_g_cm3": 5.6}

---

# 2
{"formula": "YNi2F2", "functional": "SCAN", "state": "single point on PBEsol structure", "cell": [[-1.545, 1.545, 7.514], [1.545, -1.545, 7.514], [1.545, 1.545, -7.514]], "species": ["Y", "Ni", "Ni", "F", "F"], "frac_coords": [[0.000, 0.000, 0.000], [0.250, 0.750, 0.500], [0.750, 0.250, 0.500], [0.426, 0.426, 0.000], [0.574, 0.574, 0.000]], "total_magnetization_mub_per_cell": 1.83, "raw_formation_energy_ev_per_atom": -1.37, "sg": "I4/mmm", "density_g_cm3": 5.7}

---

# 3
{"formula": "Rb2Mg", "functional": "SCAN", "state": "single point on PBEsol structure", "cell": [[6.777, 0.000, 0.000], [-3.388, 5.869, 0.000], [0.000, 0.000, 8.469]], "species": ["Rb", "Rb", "Rb", "Rb", "Mg", "Mg"], "frac_coords": [[0.000, 0.000, 0.000], [0.000, 0.000, 0.500], [0.333, 0.667, 0.250], [0.667, 0.333, 0.750], [0.333, 0.667, 0.750], [0.667, 0.333, 0.250]], "total_magnetization_mub_per_cell": 0.00, "de_polymorph_mev_per_atom": 0, "sg": "P6_3/mmc", "density_g_cm3": 1.9}

---

# 4
{"formula": "Li2PtW", "functional": "SCAN", "state": "single point on PBEsol structure", "cell": [[0.000, 2.925, 2.925], [2.925, 0.000, 2.925], [2.925, 2.925, 0.000]], "species": ["Li", "Li", "Pt", "W"], "frac_coords": [[0.250, 0.250, 0.250], [0.750, 0.750, 0.750], [0.000, 0.000, 0.000], [0.500, 0.500, 0.500]], "total_magnetization_mub_per_cell": 1.62, "de_polymorph_mev_per_atom": 593, "sg": "Fm-3m", "density_g_cm3": 13.0}

---

# 5
{"formula": "CaZr3H", "functional": "SCAN", "state": "single point on PBEsol structure", "cell": [[5.005, 0.000, 0.000], [0.000, 5.005, 0.000], [0.000, 0.000, 5.005]], "species": ["Ca", "Zr", "Zr", "Zr", "H"], "frac_coords": [[0.000, 0.000, 0.000], [0.000, 0.000, 0.500], [0.000, 0.500, 0.000], [0.500, 0.000, 0.000], [0.500, 0.500, 0.500]], "total_magnetization_mub_per_cell": 2.71, "de_polymorph_mev_per_atom": 2203, "sg": "Pm-3m", "density_g_cm3": 4.2}

---

# 6
{"formula": "CaCd4Hg", "functional": "SCAN", "state": "single point on PBEsol structure", "cell": [[0.000, 4.111, 4.111], [4.111, 0.000, 4.111], [4.111, 4.111, 0.000]], "species": ["Ca", "Cd", "Cd", "Cd", "Cd", "Hg"], "frac_coords": [[0.000, 0.000, 0.000], [0.125, 0.625, 0.625], [0.625, 0.125, 0.625], [0.625, 0.625, 0.125], [0.625, 0.625, 0.625], [0.250, 0.250, 0.250]], "total_magnetization_mub_per_cell": 0.00, "sg": "F-43m", "final_energy_ev_per_atom": -33.424, "density_g_cm3": 8.3}

---

Please write out number 6 again, unchanged.
{"formula": "CaCd4Hg", "functional": "SCAN", "state": "single point on PBEsol structure", "cell": [[0.000, 4.111, 4.111], [4.111, 0.000, 4.111], [4.111, 4.111, 0.000]], "species": ["Ca", "Cd", "Cd", "Cd", "Cd", "Hg"], "frac_coords": [[0.000, 0.000, 0.000], [0.125, 0.625, 0.625], [0.625, 0.125, 0.625], [0.625, 0.625, 0.125], [0.625, 0.625, 0.625], [0.250, 0.250, 0.250]], "total_magnetization_mub_per_cell": 0.00, "sg": "F-43m", "final_energy_ev_per_atom": -33.424, "density_g_cm3": 8.3}

---

- Number 3 is which compound?
  Rb2Mg